(w)
{"formula": "Li2In2Br7", "functional": "PBE", "state": "relaxed", "dos_at_fermi_per_ev_cell": 3.78, "crystal_system": "monoclinic", "spacegroup": "C2/m, No. 12", "lattice": [[7.635, 0.371, 0.535], [-0.425, 7.866, -0.366], [-0.425, -3.105, 7.237]], "species": ["Li", "Li", "In", "In", "Br", "Br", "Br", "Br", "Br", "Br", "Br"], "frac_coords": [[0.500, 0.257, 0.743], [0.500, 0.743, 0.257], [0.857, 0.293, 0.293], [0.143, 0.707, 0.707], [0.330, 0.919, 0.577], [0.670, 0.423, 0.081], [0.670, 0.081, 0.423], [0.330, 0.577, 0.919], [0.000, 0.000, 0.000], [0.789, 0.609, 0.609], [0.211, 0.391, 0.391]]}



(x)
{"formula": "Li2In2Br7", "functional": "PBE", "state": "relaxed", "dos_at_fermi_per_ev_cell": 7.91, "crystal_system": "monoclinic", "spacegroup": "C2/c, No. 15", "lattice": [[7.388, 0.335, -2.198], [-0.943, 7.335, -2.198], [-0.528, -0.628, 14.501]], "species": ["Li", "Li", "Li", "Li", "In", "In", "In", "In", "Br", "Br", "Br", "Br", "Br", "Br", "Br", "Br", "Br", "Br", "Br", "Br", "Br", "Br"], "frac_coords": [[0.400, 0.719, 0.469], [0.281, 0.600, 0.031], [0.719, 0.400, 0.969], [0.600, 0.281, 0.531], [0.229, 0.189, 0.204], [0.189, 0.229, 0.704], [0.811, 0.771, 0.296], [0.771, 0.811, 0.796], [0.054, 0.603, 0.397], [0.084, 0.394, 0.087], [0.504, 0.393, 0.368], [0.974, 0.026, 0.250], [0.603, 0.054, 0.897], [0.394, 0.084, 0.587], [0.393, 0.504, 0.868], [0.607, 0.496, 0.132], [0.606, 0.916, 0.413], [0.397, 0.946, 0.103], [0.026, 0.974, 0.750], [0.496, 0.607, 0.632], [0.916, 0.606, 0.913], [0.946, 0.397, 0.603]]}



What should be chosen as the least stable of them? Choose (w).



(w)
{"formula": "LiIn3Br4", "functional": "PBE", "state": "relaxed", "dos_at_fermi_per_ev_cell": 0.00, "crystal_system": "orthorhombic", "spacegroup": "Pmn2_1, No. 31", "lattice": [[6.497, 0.000, 0.000], [0.000, 9.887, 0.000], [0.000, 0.000, 9.083]], "species": ["Li", "Li", "In", "In", "In", "In", "In", "In", "Br", "Br", "Br", "Br", "Br", "Br", "Br", "Br"], "frac_coords": [[0.000, 0.214, 0.000], [0.500, 0.786, 0.500], [0.562, 0.910, 0.000], [0.071, 0.653, 0.192], [0.571, 0.347, 0.308], [0.062, 0.090, 0.500], [0.571, 0.347, 0.692], [0.071, 0.653, 0.808], [0.052, 0.959, 0.000], [0.598, 0.241, 0.000], [0.081, 0.332, 0.249], [0.581, 0.668, 0.251], [0.098, 0.759, 0.500], [0.552, 0.041, 0.500], [0.581, 0.668, 0.749], [0.081, 0.332, 0.751]]}



(x)
{"formula": "LiIn3Br4", "functional": "PBE", "state": "relaxed", "dos_at_fermi_per_ev_cell": 0.00, "crystal_system": "orthorhombic", "spacegroup": "Pnma, No. 62", "lattice": [[-2.800, 8.375, -4.656], [-5.275, -5.258, -6.285], [-8.979, 0.810, 6.857]], "species": ["In", "In", "In", "In", "In", "In", "In", "In", "In", "In", "In", "In", "Br", "Br", "Br", "Br", "Br", "Br", "Br", "Br", "Br", "Br", "Br", "Br", "Br", "Br", "Br", "Br", "Li", "Li", "Li", "Li"], "frac_coords": [[0.452, 0.617, 0.750], [0.952, 0.883, 0.750], [0.548, 0.383, 0.250], [0.048, 0.117, 0.250], [0.395, 0.810, 0.063], [0.895, 0.690, 0.437], [0.605, 0.190, 0.563], [0.105, 0.310, 0.937], [0.605, 0.190, 0.937], [0.105, 0.310, 0.563], [0.395, 0.810, 0.437], [0.895, 0.690, 0.063], [0.174, 0.969, 0.574], [0.674, 0.531, 0.926], [0.826, 0.031, 0.074], [0.326, 0.469, 0.426], [0.826, 0.031, 0.426], [0.326, 0.469, 0.074], [0.174, 0.969, 0.926], [0.674, 0.531, 0.574], [0.335, 0.286, 0.750], [0.835, 0.214, 0.750], [0.665, 0.714, 0.250], [0.165, 0.786, 0.250], [0.551, 0.937, 0.750], [0.051, 0.563, 0.750], [0.449, 0.063, 0.250], [0.949, 0.437, 0.250], [0.316, 0.025, 0.750], [0.816, 0.475, 0.750], [0.684, 0.975, 0.250], [0.184, 0.525, 0.250]]}



What should be chosen as the least stable of them? Choose (w).